The following is a GGA+U calculation of an optimized crystal structure of CoPH10C3NO8, from OQMD via LeMat-Bulk.

Computed properties:
As for the symmetry: No. 4. The calculation puts the total energy at -5.941 eV per atom. For the total magnetization, the calculation gives 6.00 μB per cell.

```
CoPH10C3NO8
1.0
5.350 0.000 0.000
0.000 9.789 0.000
-1.118 0.000 7.379
H O P C N Co
20 16 2 6 2 2
Direct
0.767 0.493 0.185
0.428 0.282 0.115
0.177 0.581 0.547
0.487 0.083 0.807
0.823 0.081 0.453
0.384 0.443 0.848
0.572 0.782 0.885
0.414 0.679 0.520
0.513 0.583 0.193
0.811 0.013 0.016
0.616 0.943 0.152
0.818 0.744 0.201
0.082 0.495 0.765
0.200 0.148 0.099
0.586 0.179 0.480
0.800 0.648 0.901
0.182 0.244 0.799
0.233 0.993 0.815
0.189 0.513 0.984
0.918 0.995 0.235
0.059 0.837 0.486
0.364 0.584 0.553
0.407 0.300 0.510
0.266 0.678 0.104
0.303 0.905 0.165
0.636 0.084 0.447
0.734 0.178 0.896
0.697 0.405 0.835
0.384 0.002 0.758
0.593 0.800 0.490
0.102 0.113 0.401
0.616 0.502 0.242
0.898 0.613 0.599
0.941 0.337 0.514
0.906 0.830 0.784
0.094 0.330 0.216
0.137 0.269 0.420
0.863 0.769 0.580
0.111 0.307 0.902
0.178 0.796 0.125
0.226 0.259 0.088
0.889 0.807 0.098
0.774 0.759 0.912
0.822 0.296 0.875
0.196 0.449 0.873
0.804 0.949 0.127
0.355 0.958 0.478
0.645 0.458 0.522
```